VASP calculation (PBE) on a relaxed Fe2ReNi crystal.

Output
The calculation puts the density at 12.7 g/cm3. Its total energy is -8.6985 eV/atom. Its space group is No. 123. Its formation energy from the elements is 0.36 eV/f.u.

Structure (POSCAR):
```
Fe2ReNi
1.0
3.6393 0.0000 0.0000
0.0000 3.6393 0.0000
0.0000 0.0000 3.5154
Fe Re Ni
2 1 1
direct
0.0000 0.5000 0.0000
0.5000 0.0000 0.0000
0.0000 0.0000 0.5000
0.5000 0.5000 0.5000
```